(1)
Compound: Rb4GeP4S12
Source: Alexandria
Functional: PBE
Structure: optimized geometry

Structure (CIF):
```
data_Rb4GeP4S12
_chemical_formula_sum 'Rb16 Ge4 P16 S48'
_space_group_name_H-M_alt 'C 1 2/c 1'
_space_group_IT_number 15
_cell_length_a 12.874
_cell_length_b 8.396
_cell_length_c 24.190
_cell_angle_alpha 90.00
_cell_angle_beta 101.62
_cell_angle_gamma 90.00
loop_
_space_group_symop_operation_xyz
'x,y,z'
'-x,-y,-z'
'-x,y,-z+1/2'
'x,-y,z+1/2'
'x+1/2,y+1/2,z'
'-x+1/2,-y+1/2,-z'
'-x+1/2,y+1/2,-z+1/2'
'x+1/2,-y+1/2,z+1/2'
loop_
_atom_site_label
_atom_site_fract_x
_atom_site_fract_y
_atom_site_fract_z
_atom_site_occupancy
Rb1 0.099 0.070 0.181 1
Rb2 0.189 0.483 0.547 1
Ge1 0.000 0.474 0.750 1
P1 0.094 0.304 0.871 1
P2 0.142 0.434 0.383 1
S1 0.039 0.314 0.417 1
S2 0.060 0.340 0.683 1
S3 0.070 0.220 0.944 1
S4 0.135 0.371 0.294 1
S5 0.187 0.184 0.830 1
S6 0.206 0.078 0.579 1
```



(2)
# RbGePS2 (PBE, optimized geometry)
data_RbGePS2
_chemical_formula_sum 'Rb1 Ge1 P1 S2'
_space_group_name_H-M_alt 'P 4/m m m'
_space_group_IT_number 123
_space_group_name_Hall '-P 4 2'
_cell_length_a 5.038
_cell_length_b 5.038
_cell_length_c 4.801
_cell_angle_alpha 90.00
_cell_angle_beta 90.00
_cell_angle_gamma 90.00
loop_
_atom_site_label
_atom_site_fract_x
_atom_site_fract_y
_atom_site_fract_z
_atom_site_occupancy
Rb1 0.000 0.000 0.000 1
Ge1 0.500 0.500 0.500 1
P1 0.500 0.500 0.000 1
S1 0.000 0.500 0.500 1
# Distance to the lowest polymorph of the same formula in eV/f.u.: 0.00



(3)
# RbGeP2S (PBE, optimized geometry)
data_RbGeP2S
_chemical_formula_sum 'Rb1 Ge1 P2 S1'
_space_group_name_H-M_alt 'P 4/m m m'
_space_group_IT_number 123
_space_group_name_Hall '-P 4 2'
_cell_length_a 4.899
_cell_length_b 4.899
_cell_length_c 5.148
_cell_angle_alpha 90.00
_cell_angle_beta 90.00
_cell_angle_gamma 90.00
loop_
_atom_site_label
_atom_site_fract_x
_atom_site_fract_y
_atom_site_fract_z
_atom_site_occupancy
Rb1 0.000 0.000 0.000 1
Ge1 0.500 0.500 0.500 1
P1 0.000 0.500 0.500 1
S1 0.500 0.500 0.000 1
# Distance to the lowest polymorph of the same formula in eV/f.u.: 0.00



(4)
# RbGeP2S (PBE, optimized geometry)
data_RbGeP2S
_chemical_formula_sum 'Rb1 Ge1 P2 S1'
_space_group_name_H-M_alt 'P 4/m m m'
_space_group_IT_number 123
_space_group_name_Hall '-P 4 2'
_cell_length_a 5.374
_cell_length_b 5.374
_cell_length_c 5.465
_cell_angle_alpha 90.00
_cell_angle_beta 90.00
_cell_angle_gamma 90.00
loop_
_atom_site_label
_atom_site_fract_x
_atom_site_fract_y
_atom_site_fract_z
_atom_site_occupancy
Rb1 0.000 0.000 0.000 1
Ge1 0.500 0.500 0.500 1
P1 0.000 0.500 0.000 1
S1 0.000 0.000 0.500 1
# Distance to the lowest polymorph of the same formula in eV/f.u.: 7.57



Asked for magnetization across the records above, the calculation gives 0.00 1.13 1.51 1.23 μB per cell in order.
Asked for uncorrected formation energy across the records above, the calculation gives -0.68 0.10 0.38 1.89 eV per atom in order.